VASP calculation (GGA-PBEsol) on crystalline Rb2Na2Cd at its relaxed geometry.

Results
Calculated formation energy (eV/atom): 0.07
Symmetry: No. 127

a = 6.374 Å, b = 8.473 Å, c = 8.473 Å
α = 90.00°, β = 90.00°, γ = 90.00°
Atoms (fractional coordinates):
Na: 0.000 0.354 0.854
Na: 0.000 0.854 0.646
Na: 0.000 0.646 0.146
Na: 0.000 0.146 0.354
Rb: 0.500 0.187 0.687
Rb: 0.500 0.687 0.813
Rb: 0.500 0.813 0.313
Rb: 0.500 0.313 0.187
Cd: 0.000 0.000 0.000
Cd: 0.000 0.500 0.500